# 1
Here is MnCdSi2 after structural relaxation from Alexandria via LeMat-Bulk. Energies are from PBE.

Properties
SG   P2/m, No. 10
Mass density   5957 kg/m³
Uncorrected formation energy   44 meV per atom
Size of the total moment   0.0004 μB per atom
Fermi-level density of states   3.16 states/eV/f.u.

POSCAR file:
```
MnCdSi2
1.0
2.884 0.000 0.000
0.000 2.769 0.000
-0.008 0.000 7.801
Mn Cd Si
1 1 2
Cartesian
0.000 0.000 0.000
1.438 0.000 3.900
1.442 1.385 1.347
1.434 1.385 6.454
```



# 2
Here is TaCu2Au after structural relaxation from Alexandria via LeMat-Bulk. Energies are from PBE.

Properties
ΔE to the lowest computed polymorph   9.4 kJ per mole of atoms
SG   Cm, No. 8
DFT formation energy   0.5 eV/f.u.
Mass density   13842 kg/m³
Size of the total moment   0.0000 μB per atom
Fermi-level density of states   2.72 states/eV/f.u.

POSCAR file:
```
TaCu2Au
1.0
9.252 0.000 0.000
0.000 2.765 0.000
-0.908 0.000 4.736
Ta Cu Au
2 4 2
Cartesian
0.000 0.000 0.000
4.626 1.383 0.000
-0.373 1.383 2.445
1.602 0.000 3.561
4.253 0.000 2.445
6.228 1.383 3.561
2.145 1.383 1.244
6.771 0.000 1.244
```



# 3
Here is ZrOsSe after structural relaxation from Alexandria via LeMat-Bulk. Energies are from PBE.

Properties
SG   Cm, No. 8
Mass density   8659 kg/m³
Uncorrected formation energy   -442 meV per atom
Size of the total moment   0.0000 μB per atom
Fermi-level density of states   1.79 states/eV/f.u.

POSCAR file:
```
ZrOsSe
1.0
17.581 0.000 0.000
0.000 3.684 0.000
-0.601 0.000 4.268
Zr Os Se
4 4 4
Cartesian
0.000 0.000 0.000
2.751 1.842 0.380
8.791 1.842 0.000
11.542 0.000 0.380
0.104 1.842 2.174
1.741 0.000 2.485
8.895 0.000 2.174
10.532 1.842 2.485
3.926 0.000 3.693
6.922 1.842 1.909
12.716 1.842 3.693
15.712 0.000 1.909
```